This record from Alexandria via LeMat-Bulk describes a PBEsol-optimized structure of TiGa2Rh. The functional is SCAN.

Values from the calculation:
- E_tot: -1.5580 Ry/atom

Cell: 4.3241 4.3241 4.3241 Å, 60.00 60.00 60.00°
Fractional coordinates of all 4 atoms:
Rh 0.5000 0.5000 0.5000
Ga 0.2500 0.2500 0.2500
Ga 0.7500 0.7500 0.7500
Ti 0.0000 0.0000 0.0000